# FeGeBr | Alexandria via LeMat-Bulk | GGA-PBE | relaxed
# Space group   Cm, No. 8
# E_form (uncorrected)   0.21 eV/f.u.
# N(E_F)   1.7 states/eV/f.u.
# Excess energy over the best structure of this formula in the dataset   3.63 kcal/mol of atoms
# Crystal system   monoclinic
data_FeGeBr
_chemical_formula_sum 'Fe4 Ge4 Br4'
_cell_length_a 5.513
_cell_length_b 4.027
_cell_length_c 12.289
_cell_angle_alpha 90.00
_cell_angle_beta 114.72
_cell_angle_gamma 90.00
_symmetry_space_group_name_H-M 'P 1'
_symmetry_Int_Tables_number 1
_symmetry_space_group_name_Hall 'P 1'
loop_
_atom_site_label
_atom_site_fract_x
_atom_site_fract_y
_atom_site_fract_z
Br1 0.342 0.000 0.000
Br2 0.342 0.500 0.500
Br3 0.917 0.500 0.089
Br4 0.917 0.000 0.589
Fe1 0.697 0.500 0.868
Fe2 0.283 0.500 0.690
Fe3 0.283 0.000 0.190
Fe4 0.697 0.000 0.368
Ge1 0.547 0.000 0.768
Ge2 0.076 0.500 0.826
Ge3 0.547 0.500 0.268
Ge4 0.076 0.000 0.326